{"formula": "Sm5Mg2Pb4", "functional": "GGA-PBE", "state": "relaxed", "space_group": "C2/m, No. 12", "formation_enthalpy_0k_mev_per_atom": -199.2, "volume_a3_per_cell": 356, "dft_energy_ha_per_atom": -0.1464, "lattice": [[10.776, -2.244, 0.000], [10.776, 2.244, 0.000], [-2.540, 0.000, 7.360]], "species": ["Sm", "Sm", "Sm", "Sm", "Sm", "Mg", "Mg", "Pb", "Pb", "Pb", "Pb"], "frac_coords": [[0.000, 0.000, 0.000], [0.336, 0.336, 0.587], [0.343, 0.343, 0.068], [0.657, 0.657, 0.932], [0.664, 0.664, 0.413], [0.073, 0.073, 0.591], [0.927, 0.927, 0.409], [0.214, 0.214, 0.724], [0.495, 0.495, 0.706], [0.505, 0.505, 0.294], [0.786, 0.786, 0.276]]}